Entry from Alexandria: LaInTe2 at its PBEsol-relaxed geometry (SCAN).

Unit cell a=7.1296 b=7.1296 c=7.1296 alpha=108.09 beta=108.09 gamma=112.28
Positions (direct):
Te 0.6250 0.1193 0.9943
In 0.5000 0.5000 0.0000
Te 0.8807 0.8750 0.5057
In 0.7500 0.2500 0.5000
Te 0.3693 0.3750 0.4943
Te 0.1250 0.6307 0.0057
La 0.2500 0.7500 0.5000
La 0.0000 0.0000 0.0000

The value obtained for the total magnetization is 0.000 Bohr magnetons per cell. As for the total DFT energy (no corrections): -38.6202 eV/atom. As for the formation energy (no corrections): -0.87 eV per atom.

***

Entry from Alexandria: LaInTe2 at its PBEsol-relaxed geometry (SCAN).

Unit cell a=4.5400 b=4.5400 c=6.4307 alpha=90.00 beta=90.00 gamma=90.00
Positions (direct):
La 0.5000 0.5000 0.5000
Te 0.0000 0.0000 0.5000
Te 0.5000 0.5000 0.0000
In 0.0000 0.0000 0.0000

The value obtained for the total magnetization is 0.000 Bohr magnetons per cell. As for the total DFT energy (no corrections): -38.8379 eV/atom. As for the formation energy (no corrections): -1.09 eV per atom.

***

Entry from Alexandria: LaInTe2 at its PBEsol-relaxed geometry (SCAN).

Unit cell a=4.0615 b=5.2785 c=5.2785 alpha=90.00 beta=90.01 gamma=90.01
Positions (direct):
Te 0.0000 0.5000 0.0000
La 0.5000 0.5000 0.5000
Te 0.0000 0.0000 0.5000
In 0.5000 0.0000 0.0000

The value obtained for the total magnetization is 0.000 Bohr magnetons per cell. As for the total DFT energy (no corrections): -38.7499 eV/atom. As for the formation energy (no corrections): -1.00 eV per atom.